{"formula": "TbThTl", "functional": "PBE", "state": "optimized geometry", "lattice": [[3.632, 0.000, -0.043], [0.000, 4.956, -0.009], [-1.683, 0.018, 10.052]], "species": ["Tl", "Th", "Tb", "Th", "Tb", "Tl"], "fractional_positions": [[0.044, 0.250, 0.596], [0.787, 0.750, 0.073], [0.398, 0.250, 0.290], [0.213, 0.250, 0.927], [0.602, 0.750, 0.710], [0.956, 0.750, 0.404]], "polymorph_energy_mev_per_atom": 12.8, "magmom_total_mub_per_cell": 0.00, "n_ef_per_ev_atom": 0.974, "formation_energy_mev_per_atom": -131, "space_group": "P2_1/m (11)"}

{"formula": "Sc2AlPt", "functional": "PBE", "state": "optimized geometry", "lattice": [[-1.707, -0.270, -7.386], [7.173, -1.887, -1.589], [2.051, -3.889, -4.227]], "species": ["Al", "Pt", "Al", "Pt", "Sc", "Sc", "Sc", "Sc"], "fractional_positions": [[0.500, 0.500, 0.000], [0.000, 0.000, 0.000], [0.250, 0.750, 0.500], [0.750, 0.250, 0.500], [0.375, 0.336, 0.750], [0.664, 0.125, 0.250], [0.875, 0.914, 0.750], [0.086, 0.625, 0.250]], "magmom_total_mub_per_cell": 0.00, "n_ef_per_ev_atom": 1.094, "formation_energy_mev_per_atom": -398, "space_group": "I-42d (122)"}

{"formula": "AlReHg2", "functional": "PBE", "state": "optimized geometry", "lattice": [[-3.272, -1.289, -2.037], [1.127, -3.837, 0.619], [-2.260, -0.071, 3.675]], "species": ["Hg", "Re", "Al", "Hg"], "fractional_positions": [[0.500, 0.500, 0.000], [0.500, 0.000, 0.500], [0.000, 0.500, 0.500], [0.000, 0.000, 0.000]], "magmom_total_mub_per_cell": 0.22, "n_ef_per_ev_atom": 0.800, "formation_energy_mev_per_atom": 620, "space_group": "Pmmm (47)"}

{"formula": "PmDyBe2Si2", "functional": "PBE", "state": "optimized geometry", "lattice": [[3.902, 0.000, 0.000], [-1.951, 3.379, 0.000], [0.000, 0.000, 8.232]], "species": ["Si", "Si", "Be", "Pm", "Dy", "Be"], "fractional_positions": [[0.667, 0.333, 0.743], [0.333, 0.667, 0.257], [0.667, 0.333, 0.257], [0.000, 0.000, 0.000], [0.000, 0.000, 0.500], [0.333, 0.667, 0.743]], "e_form_raw_ev_per_atom": -0.640, "magmom_total_mub_per_cell": 0.00, "n_ef_per_ev_atom": 0.475, "space_group": "P-3m1 (164)"}

{"formula": "Nb3ZnI", "functional": "PBE", "state": "optimized geometry", "lattice": [[4.827, 0.000, 0.000], [0.000, 4.827, 0.000], [0.000, 0.000, 4.827]], "species": ["Zn", "Nb", "I", "Nb", "Nb"], "fractional_positions": [[0.000, 0.000, 0.000], [0.500, 0.000, 0.000], [0.500, 0.500, 0.500], [0.000, 0.500, 0.000], [0.000, 0.000, 0.500]], "e_form_raw_ev_per_atom": 1.343, "polymorph_energy_mev_per_atom": 0.0, "magmom_total_mub_per_cell": 0.00, "n_ef_per_ev_atom": 1.348, "space_group": "Pm-3m (221)"}

{"formula": "MnAgMoIr2", "functional": "PBE", "state": "optimized geometry", "lattice": [[4.506, 0.000, 0.000], [0.000, 4.417, 0.000], [0.000, 0.000, 4.506]], "species": ["Mn", "Ir", "Ag", "Ir", "Mo"], "fractional_positions": [[0.000, 0.000, 0.000], [0.000, 0.000, 0.500], [0.500, 0.500, 0.500], [0.500, 0.000, 0.000], [0.000, 0.500, 0.000]], "magmom_total_mub_per_cell": 1.03, "n_ef_per_ev_atom": 0.997, "formation_energy_mev_per_atom": 1195, "space_group": "P4/mmm (123)"}

{"formula": "BaSbSe2", "functional": "PBE", "state": "optimized geometry", "lattice": [[-2.504, -5.096, 7.399], [1.335, -7.252, 5.710], [1.785, -3.458, 8.476]], "species": ["Ba", "Sb", "Se", "Se"], "fractional_positions": [[0.500, 0.500, 0.500], [0.000, 0.000, 0.000], [0.901, 0.901, 0.901], [0.099, 0.099, 0.099]], "e_form_raw_ev_per_atom": -0.650, "magmom_total_mub_per_cell": 0.00, "n_ef_per_ev_atom": 0.829, "space_group": "R-3m (166)"}

{"formula": "Dy2HoTmN4", "functional": "PBE", "state": "optimized geometry", "lattice": [[-0.492, 1.558, 3.039], [-4.076, -4.120, 1.453], [5.398, -1.818, 1.806]], "species": ["N", "Ho", "N", "Dy", "N", "Dy", "N", "Tm"], "fractional_positions": [[0.500, 0.752, 0.753], [0.500, 0.500, 0.000], [0.000, 0.250, 0.752], [0.000, 0.500, 0.500], [0.000, 0.750, 0.248], [0.500, 0.000, 0.500], [0.500, 0.248, 0.247], [0.000, 0.000, 0.000]], "e_form_raw_ev_per_atom": -1.744, "magmom_total_mub_per_cell": 0.00, "n_ef_per_ev_atom": 0.026, "space_group": "P2/m (10)"}

{"formula": "TiAs3C", "functional": "PBE", "state": "optimized geometry", "lattice": [[-3.187, 1.419, -2.547], [-1.338, -4.065, -0.591], [-2.591, 0.353, 3.439]], "species": ["Ti", "C", "As", "As", "As"], "fractional_positions": [[0.500, 0.500, 0.500], [0.000, 0.000, 0.000], [0.000, 0.000, 0.500], [0.000, 0.500, 0.000], [0.500, 0.000, 0.000]], "polymorph_energy_mev_per_atom": 0.0, "magmom_total_mub_per_cell": 0.00, "n_ef_per_ev_atom": 0.788, "formation_energy_mev_per_atom": 816, "space_group": "Pm-3m (221)"}

{"formula": "Sc2CrTc", "functional": "PBE", "state": "optimized geometry", "lattice": [[-1.851, 1.928, 3.089], [-1.058, -2.728, 1.069], [4.170, -1.695, 3.557]], "species": ["Cr", "Sc", "Sc", "Tc"], "fractional_positions": [[0.500, 0.687, 0.716], [0.500, 0.269, 0.289], [0.000, 0.990, 0.961], [0.000, 0.555, 0.534]], "polymorph_energy_mev_per_atom": 136.4, "magmom_total_mub_per_cell": 0.46, "n_ef_per_ev_atom": 1.181, "formation_energy_mev_per_atom": 95, "space_group": "Pm (6)"}

{"formula": "Ti3Zn5Cu2", "functional": "PBE", "state": "optimized geometry", "lattice": [[-3.409, 1.825, 7.488], [3.026, -4.639, 5.197], [3.993, 4.878, -5.458]], "species": ["Zn", "Cu", "Zn", "Zn", "Ti", "Zn", "Zn", "Ti", "Ti", "Cu", "Cu", "Ti", "Cu", "Zn", "Ti", "Zn", "Zn", "Zn", "Zn", "Ti"], "fractional_positions": [[0.246, 0.496, 0.991], [0.107, 0.186, 0.261], [0.010, 0.260, 0.521], [0.507, 0.257, 0.514], [0.071, 0.823, 0.237], [0.493, 0.743, 0.486], [0.426, 0.186, 0.715], [0.929, 0.177, 0.763], [0.334, 0.587, 0.763], [0.346, 0.925, 0.739], [0.893, 0.814, 0.739], [0.666, 0.413, 0.237], [0.654, 0.075, 0.261], [0.574, 0.814, 0.285], [0.255, 0.005, 0.010], [0.990, 0.740, 0.479], [0.789, 0.529, 0.715], [0.211, 0.471, 0.285], [0.754, 0.504, 0.009], [0.745, 0.995, 0.990]], "magmom_total_mub_per_cell": 3.68, "n_ef_per_ev_atom": 0.719, "formation_energy_mev_per_atom": 90, "space_group": "C2/c (15)"}

{"formula": "Np2Ni12Ge7", "functional": "PBE", "state": "optimized geometry", "lattice": [[-3.377, 1.716, 0.090], [-4.060, -8.124, 2.552], [3.198, 5.949, 6.587]], "species": ["Ni", "Ni", "Ge", "Ni", "Ge", "Np", "Ni", "Ge", "Ni", "Ge", "Ni", "Ni", "Ge", "Ni", "Ni", "Ni", "Ge", "Ni", "Ge", "Ni", "Np"], "fractional_positions": [[0.000, 0.785, 0.719], [0.000, 0.466, 0.518], [0.000, 0.333, 0.667], [0.500, 0.224, 0.464], [0.000, 0.065, 0.790], [0.500, 0.000, 0.000], [0.500, 0.536, 0.760], [0.500, 0.929, 0.365], [0.000, 0.281, 0.065], [0.000, 0.210, 0.275], [0.000, 0.052, 0.534], [0.000, 0.482, 0.948], [0.500, 0.635, 0.564], [0.500, 0.703, 0.087], [0.500, 0.384, 0.297], [0.500, 0.240, 0.776], [0.000, 0.725, 0.935], [0.000, 0.935, 0.215], [0.500, 0.436, 0.071], [0.500, 0.913, 0.616], [0.000, 0.667, 0.333]], "magmom_total_mub_per_cell": 7.58, "n_ef_per_ev_atom": 1.282, "formation_energy_mev_per_atom": -333, "space_group": "P-6 (174)"}

{"formula": "LiCdCoRh", "functional": "PBE", "state": "optimized geometry", "lattice": [[-1.827, -2.877, -2.635], [-1.713, -3.611, 1.608], [-4.275, -0.532, 0.024]], "species": ["Li", "Rh", "Cd", "Co"], "fractional_positions": [[0.000, 0.000, 0.000], [0.250, 0.250, 0.250], [0.750, 0.750, 0.750], [0.500, 0.500, 0.500]], "magmom_total_mub_per_cell": 2.40, "n_ef_per_ev_atom": 0.774, "formation_energy_mev_per_atom": 5, "space_group": "F-43m (216)"}

{"formula": "CaYTh", "functional": "PBE", "state": "optimized geometry", "lattice": [[3.596, 0.000, 0.000], [-1.798, 3.114, 0.000], [0.000, 0.000, 24.969]], "species": ["Y", "Th", "Th", "Ca", "Y", "Ca"], "fractional_positions": [[0.667, 0.333, 0.886], [0.667, 0.333, 0.399], [0.667, 0.333, 0.632], [0.333, 0.667, 0.760], [0.333, 0.667, 0.512], [0.333, 0.667, 0.006]], "polymorph_energy_mev_per_atom": 196.4, "magmom_total_mub_per_cell": 0.14, "n_ef_per_ev_atom": 1.470, "formation_energy_mev_per_atom": 291, "space_group": "P3m1 (156)"}

{"formula": "Na2CrW2", "functional": "PBE", "state": "optimized geometry", "lattice": [[-4.793, -3.275, 1.739], [1.935, -4.633, -3.394], [2.943, -1.981, 4.381]], "species": ["Na", "Cr", "W", "W", "W", "W", "Na", "Cr", "Na", "Na"], "fractional_positions": [[0.678, 0.822, 0.500], [0.500, 0.500, 0.000], [0.646, 0.146, 0.000], [0.354, 0.854, 0.000], [0.146, 0.354, 0.000], [0.854, 0.646, 0.000], [0.322, 0.178, 0.500], [0.000, 0.000, 0.000], [0.178, 0.678, 0.500], [0.822, 0.322, 0.500]], "polymorph_energy_mev_per_atom": 0.0, "magmom_total_mub_per_cell": 0.00, "n_ef_per_ev_atom": 1.156, "formation_energy_mev_per_atom": 1193, "space_group": "P4/mbm (127)"}

{"formula": "AlSiSb2", "functional": "PBE", "state": "optimized geometry", "lattice": [[3.986, -0.065, 0.040], [1.991, 3.453, 0.040], [1.978, 1.122, 6.750]], "species": ["Al", "Sb", "Si", "Sb"], "fractional_positions": [[0.750, 0.750, 0.750], [0.502, 0.502, 0.491], [0.250, 0.250, 0.250], [0.998, 0.998, 0.009]], "e_form_raw_ev_per_atom": 0.181, "polymorph_energy_mev_per_atom": 20.7, "magmom_total_mub_per_cell": 0.00, "n_ef_per_ev_atom": 0.378, "space_group": "C2/m (12)"}

{"formula": "HfRhI2O", "functional": "PBE", "state": "optimized geometry", "lattice": [[5.715, 0.000, 0.000], [0.000, 5.715, 0.000], [0.000, 0.000, 3.910]], "species": ["I", "O", "I", "Rh", "Hf"], "fractional_positions": [[0.000, 0.500, 0.000], [0.000, 0.000, 0.500], [0.500, 0.000, 0.000], [0.500, 0.500, 0.500], [0.000, 0.000, 0.000]], "e_form_raw_ev_per_atom": -0.502, "polymorph_energy_mev_per_atom": 0.0, "magmom_total_mub_per_cell": 1.09, "n_ef_per_ev_atom": 0.870, "space_group": "P4/mmm (123)"}

{"formula": "SrAcAl2Ga2", "functional": "PBE", "state": "optimized geometry", "lattice": [[-0.925, -2.231, -3.727], [-2.535, -0.550, 3.604], [-5.589, 7.083, -2.851]], "species": ["Ac", "Sr", "Ga", "Al", "Al", "Ga"], "fractional_positions": [[0.000, 0.000, 0.000], [0.000, 0.000, 0.500], [0.333, 0.667, 0.244], [0.667, 0.333, 0.245], [0.333, 0.667, 0.755], [0.667, 0.333, 0.756]], "magmom_total_mub_per_cell": 0.00, "n_ef_per_ev_atom": 0.538, "formation_energy_mev_per_atom": -460, "space_group": "P-3m1 (164)"}

{"formula": "Tl2Sn2HgSb2", "functional": "PBE", "state": "optimized geometry", "lattice": [[-0.141, 4.339, 0.156], [-2.624, 4.457, -6.242], [-7.944, -0.304, 0.166]], "species": ["Sn", "Tl", "Hg", "Sb", "Tl", "Sn", "Sb"], "fractional_positions": [[0.108, 0.390, 0.867], [0.518, 0.977, 0.709], [0.000, 0.000, 0.000], [0.383, 0.615, 0.626], [0.482, 0.023, 0.291], [0.892, 0.610, 0.133], [0.617, 0.385, 0.374]], "e_form_raw_ev_per_atom": 0.015, "magmom_total_mub_per_cell": 0.00, "n_ef_per_ev_atom": 0.372, "space_group": "P-1 (2)"}

{"formula": "KNaInF3", "functional": "PBE", "state": "optimized geometry", "lattice": [[-0.171, -0.527, -4.981], [7.155, -3.105, 2.603], [-2.784, -5.350, 0.661]], "species": ["F", "F", "F", "K", "K", "Na", "In", "F", "In", "F", "Na", "F"], "fractional_positions": [[0.605, 0.211, 0.204], [0.240, 0.480, 0.331], [0.134, 0.267, 0.883], [0.409, 0.817, 0.240], [0.591, 0.183, 0.760], [0.254, 0.509, 0.707], [0.092, 0.185, 0.239], [0.395, 0.789, 0.796], [0.908, 0.815, 0.761], [0.760, 0.520, 0.669], [0.746, 0.491, 0.293], [0.866, 0.733, 0.117]], "e_form_raw_ev_per_atom": -2.344, "magmom_total_mub_per_cell": 0.00, "n_ef_per_ev_atom": 0.000, "space_group": "C2/m (12)"}